Entry 1
{
  "formula": "Li2MoAu",
  "functional": "GGA-PBE",
  "state": "optimized geometry",
  "m_tot_mub_per_cell": 0.3,
  "lattice": [[-1.718, -1.372, 1.546], [1.334, -2.272, -0.533], [5.022, 1.356, 6.786]],
  "species": ["Au", "Mo", "Li", "Li"],
  "frac_coords": [[0.500, 0.500, 0.750], [0.500, 0.500, 0.250], [0.000, 0.000, 0.514], [0.000, 0.000, 0.986]]
}



Entry 2
{
  "formula": "Li2MoAu",
  "functional": "GGA-PBE",
  "state": "optimized geometry",
  "m_tot_mub_per_cell": 0.9,
  "lattice": [[-1.039, -4.247, 1.567], [0.079, -0.935, -2.483], [4.982, -1.086, 0.359]],
  "species": ["Li", "Au", "Mo", "Li"],
  "frac_coords": [[0.000, 0.898, 0.006], [0.500, 0.750, 0.750], [0.500, 0.250, 0.250], [0.000, 0.602, 0.494]]
}



Entry 3
{
  "formula": "Li2MoAu",
  "functional": "GGA-PBE",
  "state": "optimized geometry",
  "m_tot_mub_per_cell": 0.0,
  "lattice": [[-0.046, 2.221, -1.454], [-0.477, -2.005, -3.047], [-5.996, 0.342, 0.713]],
  "species": ["Au", "Mo", "Li", "Li"],
  "frac_coords": [[0.500, 0.500, 0.750], [0.500, 0.500, 0.250], [0.000, 0.000, 0.520], [0.000, 0.000, 0.980]]
}



Entry 4
{
  "formula": "Li2MoAu",
  "functional": "GGA-PBE",
  "state": "optimized geometry",
  "m_tot_mub_per_cell": 0.0,
  "lattice": [[-4.029, -2.064, -1.074], [-0.430, -0.503, 2.579], [-2.412, 4.461, 0.475]],
  "species": ["Li", "Au", "Li", "Mo"],
  "frac_coords": [[0.500, 0.374, 0.193], [0.500, 0.876, 0.712], [0.000, 0.874, 0.042], [0.000, 0.376, 0.552]]
}



Stability ranking, top and bottom: entry 1 is the most stable and entry 3 is the least stable.



Entry 1
{
  "formula": "LiMo2Au",
  "functional": "GGA-PBE",
  "state": "optimized geometry",
  "m_tot_mub_per_cell": 0.0,
  "lattice": [[-2.599, 2.429, 0.608], [-0.757, 0.074, -3.528], [-8.398, -6.260, -0.177]],
  "species": ["Mo", "Au", "Au", "Li", "Mo", "Li", "Mo", "Mo"],
  "frac_coords": [[0.875, 0.865, 0.750], [0.750, 0.250, 0.500], [0.000, 0.000, 0.000], [0.500, 0.500, 0.000], [0.375, 0.385, 0.750], [0.250, 0.750, 0.500], [0.135, 0.625, 0.250], [0.615, 0.125, 0.250]]
}



Entry 2
{
  "formula": "LiMo2Au",
  "functional": "GGA-PBE",
  "state": "optimized geometry",
  "m_tot_mub_per_cell": 0.0,
  "lattice": [[2.672, 0.000, 0.000], [0.000, 4.542, 0.000], [0.000, 0.000, 5.126]],
  "species": ["Mo", "Li", "Mo", "Au"],
  "frac_coords": [[0.000, 0.000, 0.988], [0.500, 0.500, 0.750], [0.000, 0.000, 0.512], [0.500, 0.500, 0.250]]
}



Stability ranking, top and bottom: entry 2 is the most stable and entry 1 is the least stable.



Entry 1
{
  "formula": "LiMo2Au",
  "functional": "GGA-PBE",
  "state": "optimized geometry",
  "m_tot_mub_per_cell": 0.0,
  "lattice": [[-1.650, -4.054, 8.982], [0.107, -5.969, 8.012], [1.086, -3.676, 9.227]],
  "species": ["Au", "Mo", "Mo", "Li"],
  "frac_coords": [[0.750, 0.750, 0.750], [0.001, 0.001, 0.001], [0.499, 0.499, 0.499], [0.250, 0.250, 0.250]]
}



Entry 2
{
  "formula": "LiMo2Au",
  "functional": "GGA-PBE",
  "state": "optimized geometry",
  "m_tot_mub_per_cell": 0.0,
  "lattice": [[-0.921, -2.195, -1.330], [2.614, -0.450, 0.635], [-2.556, -3.709, 7.891]],
  "species": ["Mo", "Li", "Au", "Mo"],
  "frac_coords": [[0.000, 0.000, 0.005], [0.500, 0.500, 0.744], [0.000, 0.000, 0.509], [0.500, 0.500, 0.242]]
}



Entry 3
{
  "formula": "LiMo2Au",
  "functional": "GGA-PBE",
  "state": "optimized geometry",
  "m_tot_mub_per_cell": 0.0,
  "lattice": [[5.216, 0.005, 0.019], [-2.224, 4.905, -0.006], [0.767, 0.658, 2.459]],
  "species": ["Mo", "Au", "Mo", "Li"],
  "frac_coords": [[0.500, 0.000, 0.500], [0.000, 0.500, 0.500], [0.000, 0.000, 0.000], [0.500, 0.500, 0.000]]
}



Entry 4
{
  "formula": "LiMo2Au",
  "functional": "GGA-PBE",
  "state": "optimized geometry",
  "m_tot_mub_per_cell": 0.0,
  "lattice": [[2.638, 0.000, 0.000], [0.000, 4.105, 0.000], [0.000, 0.000, 5.822]],
  "species": ["Li", "Mo", "Au", "Mo"],
  "frac_coords": [[0.500, 0.500, 0.736], [0.000, 0.000, 0.005], [0.000, 0.000, 0.523], [0.500, 0.500, 0.236]]
}



Stability ranking, top and bottom: entry 2 is the most stable and entry 1 is the least stable.



Entry 1
{
  "formula": "LiMo2Au",
  "functional": "GGA-PBE",
  "state": "optimized geometry",
  "m_tot_mub_per_cell": 0.0,
  "lattice": [[-2.910, -4.364, -0.518], [4.298, 0.865, -2.925], [1.495, -1.215, 1.837]],
  "species": ["Li", "Mo", "Mo", "Au"],
  "frac_coords": [[0.000, 0.500, 0.500], [0.000, 0.000, 0.000], [0.500, 0.500, 0.000], [0.500, 0.000, 0.500]]
}



Entry 2
{
  "formula": "LiMo2Au",
  "functional": "GGA-PBE",
  "state": "optimized geometry",
  "m_tot_mub_per_cell": 0.0,
  "lattice": [[-2.132, 0.672, -1.419], [-0.190, -2.638, 0.126], [-5.060, 0.743, 7.956]],
  "species": ["Mo", "Au", "Li", "Mo"],
  "frac_coords": [[0.000, 0.000, 0.501], [0.500, 0.500, 0.250], [0.500, 0.500, 0.750], [0.000, 0.000, 0.999]]
}



Entry 3
{
  "formula": "LiMo2Au",
  "functional": "GGA-PBE",
  "state": "optimized geometry",
  "m_tot_mub_per_cell": 0.0,
  "lattice": [[4.699, -0.002, -0.006], [3.952, 2.543, -0.006], [0.299, 0.088, 5.291]],
  "species": ["Mo", "Li", "Mo", "Au"],
  "frac_coords": [[0.761, 0.761, 0.772], [0.244, 0.244, 0.261], [0.999, 0.999, 0.994], [0.497, 0.497, 0.473]]
}



Entry 4
{
  "formula": "LiMo2Au",
  "functional": "GGA-PBE",
  "state": "optimized geometry",
  "m_tot_mub_per_cell": 0.0,
  "lattice": [[0.000, 3.155, 3.155], [3.155, 0.000, 3.155], [3.155, 3.155, 0.000]],
  "species": ["Au", "Li", "Mo", "Mo"],
  "frac_coords": [[0.500, 0.500, 0.500], [0.000, 0.000, 0.000], [0.750, 0.750, 0.750], [0.250, 0.250, 0.250]]
}



Stability ranking, top and bottom: entry 3 is the most stable and entry 4 is the least stable.